1.
# Dy2Y5Ho2 (PBE, optimized geometry)
data_Dy2Y5Ho2
_chemical_formula_sum 'Dy2 Y5 Ho2'
_symmetry_space_group_name_H-M 'P -1'
_symmetry_Int_Tables_number 2
_symmetry_space_group_name_Hall '-P 1'
_cell_length_a 3.548
_cell_length_b 9.405
_cell_length_c 9.408
_cell_angle_alpha 69.10
_cell_angle_beta 79.16
_cell_angle_gamma 79.26
loop_
_atom_site_label
_atom_site_type_symbol
_atom_site_fract_x
_atom_site_fract_y
_atom_site_fract_z
Dy1 Dy 0.056 0.167 0.222
Y1 Y 0.278 0.832 0.111
Y2 Y 0.389 0.167 0.555
Y3 Y 0.500 0.500 0.000
Ho1 Ho 0.167 0.501 0.665
# **Volume**: 285.59 Å³ per cell
# **Crystal system**: triclinic
# **Total magnetic moment**: 0.00 μB/atom
# **DFT formation energy**: 0.0225 eV/atom



2.
# Dy6Y12Ho (PBE, optimized geometry)
data_Dy6Y12Ho
_chemical_formula_sum 'Dy18 Y36 Ho3'
_symmetry_space_group_name_H-M 'R -3'
_symmetry_Int_Tables_number 148
_symmetry_space_group_name_Hall '-R 3'
_cell_length_a 11.8734
_cell_length_b 11.8734
_cell_length_c 15.3104
_cell_angle_alpha 90.00
_cell_angle_beta 90.00
_cell_angle_gamma 120.00
loop_
_atom_site_label
_atom_site_type_symbol
_atom_site_fract_x
_atom_site_fract_y
_atom_site_fract_z
Dy1 Dy 0.0131 0.5883 0.1808
Y1 Y 0.0109 0.1791 0.6904
Y2 Y 0.0430 0.1916 0.9148
Ho1 Ho 0.0000 0.0000 0.5000
# **Volume**: 1869.25 Å³ per cell
# **Crystal system**: trigonal
# **Total magnetic moment**: 0.00 μB/atom
# **DFT formation energy**: 0.1512 eV/atom



3.
# Dy11Y9Ho4 (PBE, optimized geometry)
data_Dy11Y9Ho4
_chemical_formula_sum 'Dy22 Y18 Ho8'
_symmetry_space_group_name_H-M 'C m m m'
_symmetry_Int_Tables_number 65
_symmetry_space_group_name_Hall '-C 2 2'
_cell_length_a 16.685
_cell_length_b 25.162
_cell_length_c 3.657
_cell_angle_alpha 90.00
_cell_angle_beta 90.00
_cell_angle_gamma 90.00
loop_
_atom_site_label
_atom_site_type_symbol
_atom_site_fract_x
_atom_site_fract_y
_atom_site_fract_z
Dy1 Dy 0.000 0.000 0.000
Dy2 Dy 0.000 0.159 0.000
Dy3 Dy 0.000 0.367 0.000
Dy4 Dy 0.207 0.500 0.000
Dy5 Dy 0.227 0.181 0.000
Y1 Y 0.000 0.500 0.500
Y2 Y 0.102 0.266 0.500
Y3 Y 0.142 0.073 0.500
Ho1 Ho 0.155 0.399 0.500
# **Volume**: 1535.18 Å³ per cell
# **Crystal system**: orthorhombic
# **Total magnetic moment**: 0.01 μB/atom
# **DFT formation energy**: 0.0451 eV/atom



4.
# Dy2Y6Ho (PBE, optimized geometry)
data_Dy2Y6Ho
_chemical_formula_sum 'Dy4 Y12 Ho2'
_symmetry_space_group_name_H-M 'P 42/m n m'
_symmetry_Int_Tables_number 136
_symmetry_space_group_name_Hall '-P 4n 2n'
_cell_length_a 10.677
_cell_length_b 10.677
_cell_length_c 5.037
_cell_angle_alpha 90.00
_cell_angle_beta 90.00
_cell_angle_gamma 90.00
loop_
_atom_site_label
_atom_site_type_symbol
_atom_site_fract_x
_atom_site_fract_y
_atom_site_fract_z
Dy1 Dy 0.166 0.166 0.000
Y1 Y 0.000 0.332 0.500
Y2 Y 0.166 0.834 0.000
Ho1 Ho 0.000 0.000 0.500
# **Volume**: 574.24 Å³ per cell
# **Crystal system**: tetragonal
# **Total magnetic moment**: 0.00 μB/atom
# **DFT formation energy**: 0.0232 eV/atom



5.
# Dy3Y2Ho9 (PBE, optimized geometry)
data_Dy3Y2Ho9
_chemical_formula_sum 'Dy3 Y2 Ho9'
_symmetry_space_group_name_H-M 'P 1'
_symmetry_Int_Tables_number 1
_symmetry_space_group_name_Hall 'P 1'
_cell_length_a 6.208
_cell_length_b 8.681
_cell_length_c 8.763
_cell_angle_alpha 80.15
_cell_angle_beta 75.44
_cell_angle_gamma 87.62
loop_
_atom_site_label
_atom_site_type_symbol
_atom_site_fract_x
_atom_site_fract_y
_atom_site_fract_z
Dy1 Dy 0.000 0.000 0.000
Dy2 Dy 0.164 0.326 0.194
Dy3 Dy 0.470 0.748 0.555
Y1 Y 0.697 0.327 0.967
Y2 Y 0.830 0.409 0.561
Ho1 Ho 0.027 0.764 0.365
Ho2 Ho 0.137 0.062 0.561
Ho3 Ho 0.259 0.372 0.768
Ho4 Ho 0.313 0.675 0.973
Ho5 Ho 0.444 0.968 0.169
Ho6 Ho 0.572 0.034 0.770
Ho7 Ho 0.696 0.594 0.202
Ho8 Ho 0.705 0.125 0.369
Ho9 Ho 0.886 0.702 0.782
# **Volume**: 450.32 Å³ per cell
# **Crystal system**: triclinic
# **Total magnetic moment**: 0.00 μB/atom
# **DFT formation energy**: 0.1126 eV/atom



6.
# DyY5Ho2 (PBE, optimized geometry)
data_DyY5Ho2
_chemical_formula_sum 'Dy2 Y10 Ho4'
_symmetry_space_group_name_H-M 'P b a m'
_symmetry_Int_Tables_number 55
_symmetry_space_group_name_Hall '-P 2 2ab'
_cell_length_a 7.114
_cell_length_b 14.229
_cell_length_c 5.019
_cell_angle_alpha 90.00
_cell_angle_beta 90.00
_cell_angle_gamma 90.00
loop_
_atom_site_label
_atom_site_type_symbol
_atom_site_fract_x
_atom_site_fract_y
_atom_site_fract_z
Dy1 Dy 0.000 0.000 0.000
Y1 Y 0.000 0.500 0.000
Y2 Y 0.001 0.249 0.000
Y3 Y 0.250 0.125 0.500
Ho1 Ho 0.249 0.875 0.500
# **Volume**: 508.06 Å³ per cell
# **Crystal system**: orthorhombic
# **Total magnetic moment**: 0.00 μB/atom
# **DFT formation energy**: 0.0214 eV/atom